Record 1
## Rb2NaWCl6 (PBE)

Data for Rb2NaWCl6 after structural relaxation.

Computed properties:
energy relative to the elements, uncorrected = -1411 meV/atom
VASP energy = -82.79 eV/cell
density = 3.32 g/cm³
SG = R-3m

Geometry as POSCAR:
```
Rb2NaWCl6
1.0
3.655 2.110 12.768
-3.655 2.110 12.768
0.000 -4.220 12.768
Rb Na W Cl
4 2 2 12
Cartesian
0.000 0.000 5.021
0.000 0.000 11.415
0.000 0.000 26.889
0.000 0.000 33.283
0.000 0.000 15.806
0.000 0.000 22.498
0.000 0.000 0.000
0.000 0.000 19.152
-1.741 -1.005 17.727
0.000 -2.224 14.199
-1.926 1.112 14.199
-1.926 -1.112 24.105
0.000 -2.011 20.577
-1.741 1.005 20.577
1.741 -1.005 17.727
0.000 2.011 17.727
1.926 1.112 14.199
1.926 -1.112 24.105
0.000 2.224 24.105
1.741 1.005 20.577
```



Record 2
## RbNa2WCl8 (PBE)

Data for RbNa2WCl8 after structural relaxation.

Computed properties:
energy relative to the elements, uncorrected = -1300 meV/atom
VASP energy = -46.94 eV/cell
density = 2.46 g/cm³
SG = P-1

Geometry as POSCAR:
```
RbNa2WCl8
1.0
5.731 0.000 0.000
0.027 7.587 0.000
1.910 3.717 9.288
Rb Na W Cl
1 2 1 8
Cartesian
0.000 0.000 0.000
2.773 4.178 1.727
4.895 7.127 7.561
0.968 5.652 4.644
2.113 6.375 6.611
2.304 3.727 4.515
2.440 6.819 3.292
2.901 1.878 0.444
4.766 9.427 8.843
5.227 4.485 5.996
5.363 7.578 4.773
5.554 4.930 2.676
```



Record 3
## Rb2NaYCl6 (PBE)

Data for Rb2NaYCl6 after structural relaxation.

Computed properties:
energy relative to the elements, uncorrected = -2097 meV/atom
VASP energy = -41.77 eV/cell
density = 2.62 g/cm³
SG = Fm-3m

Geometry as POSCAR:
```
Rb2NaYCl6
1.0
0.000 5.396 5.396
5.396 0.000 5.396
5.396 5.396 0.000
Rb Na Y Cl
2 1 1 6
Cartesian
2.698 2.698 2.698
8.094 8.094 8.094
0.000 0.000 0.000
5.396 5.396 5.396
5.396 5.396 2.759
5.396 2.759 5.396
8.033 5.396 5.396
2.759 5.396 5.396
5.396 8.033 5.396
5.396 5.396 8.033
```



What is the formula in the third record? Rb2NaYCl6